Record 1
This record from Alexandria describes an optimized crystal structure of PuSeI. The functional is PBE.

The value obtained for the uncorrected formation energy is -1.25 eV per atom. The calculation puts the size of the total moment at 1.667 μB/atom. The value obtained for the distance to the lowest polymorph of the same formula is 0.074 eV per atom. The value obtained for the calculated density is 7.758 g/cm3.

Cell: 12.113 13.941 9.124 Å, 90.00 90.00 90.00°
Space group Fdd2 (No. 43)
Asymmetric unit:
Pu (0.067, 0.268, 0.000) x16
Se (0.020, 0.369, 0.277) x16
I (0.085, 0.376, 0.694) x16


Record 2
This record from Alexandria describes an optimized crystal structure of PuSeI. The functional is PBE.

The value obtained for the uncorrected formation energy is -1.10 eV per atom. The calculation puts the size of the total moment at 1.667 μB/atom. The value obtained for the distance to the lowest polymorph of the same formula is 0.222 eV per atom. The value obtained for the calculated density is 7.936 g/cm3.

Cell: 3.714 3.714 13.648 Å, 90.00 90.00 90.00°
Space group I4mm (No. 107)
Asymmetric unit:
Pu (0.000, 0.000, 0.000) x2
Se (0.000, 0.000, 0.600) x2
I (0.000, 0.000, 0.346) x2


Record 3
This record from Alexandria describes an optimized crystal structure of PuSeI. The functional is PBE.

The value obtained for the uncorrected formation energy is -1.24 eV per atom. The calculation puts the size of the total moment at 1.667 μB/atom. The value obtained for the distance to the lowest polymorph of the same formula is 0.090 eV per atom. The value obtained for the calculated density is 6.642 g/cm3.

Cell: 4.2980 4.2980 7.0303 Å, 90.00 90.00 120.00°
Space group P3m1 (No. 156)
Asymmetric unit:
Pu (0.0000, 0.0000, 0.0000) x1
Se (0.3333, 0.6667, 0.1914) x1
I (0.6667, 0.3333, 0.7143) x1


Record 4
This record from Alexandria describes an optimized crystal structure of PuSeI3. The functional is PBE.

The value obtained for the uncorrected formation energy is -0.80 eV per atom. The calculation puts the size of the total moment at 0.802 μB/atom. The value obtained for the calculated density is 5.047 g/cm3.

Cell: 8.008 7.615 15.303 Å, 90.00 97.08 90.00°
Space group P2/c (No. 13)
Asymmetric unit:
Pu (0.079, 0.100, 0.138) x4
Se (0.138, 0.355, 0.284) x4
I (0.132, 0.234, 0.530) x4
I (0.235, 0.104, 0.804) x4
I (0.388, 0.259, 0.090) x4


Record 5
This record from Alexandria describes an optimized crystal structure of Pu7SeI12. The functional is PBE.

The value obtained for the uncorrected formation energy is -1.09 eV per atom. The calculation puts the size of the total moment at 2.100 μB/atom. The value obtained for the calculated density is 6.948 g/cm3.

Cell: 15.9361 15.9361 10.7899 Å, 90.00 90.00 120.00°
Space group R-3 (No. 148, hexagonal axes)
Asymmetric unit:
Pu (0.0000, 0.0000, 0.0000) x3
Pu (0.0496, 0.8778, 0.3465) x18
Se (0.0000, 0.0000, 0.5000) x3
I (0.0188, 0.4313, 0.1649) x18
I (0.0525, 0.8705, 0.8319) x18


Record 6
This record from Alexandria describes an optimized crystal structure of Pu3Se3I. The functional is PBE.

The value obtained for the uncorrected formation energy is -1.30 eV per atom. The calculation puts the size of the total moment at 2.429 μB/atom. The value obtained for the distance to the lowest polymorph of the same formula is 0.133 eV per atom. The value obtained for the calculated density is 8.806 g/cm3.

Cell: 9.0422 9.0422 17.5088 Å, 90.00 90.00 120.00°
Space group R-3 (No. 148, hexagonal axes)
Asymmetric unit:
Pu (0.0056, 0.3536, 0.4211) x18
Se (0.0052, 0.2975, 0.5902) x18
I (0.0000, 0.0000, 0.1661) x6


Record 7
This record from Alexandria describes an optimized crystal structure of PuSeI. The functional is PBE.

The value obtained for the uncorrected formation energy is -1.32 eV per atom. The calculation puts the size of the total moment at 1.667 μB/atom. The value obtained for the distance to the lowest polymorph of the same formula is 0.000 eV per atom. The value obtained for the calculated density is 6.211 g/cm3.

Cell: 4.340 5.643 9.822 Å, 90.00 90.00 90.00°
Space group Pmmn (No. 59, origin choice 2)
Asymmetric unit:
Pu (0.250, 0.250, 0.122) x2
Se (0.250, 0.750, 0.073) x2
I (0.250, 0.750, 0.653) x2


Record 8
This record from Alexandria describes an optimized crystal structure of Pu3Se3I. The functional is PBE.

The value obtained for the uncorrected formation energy is -1.43 eV per atom. The calculation puts the size of the total moment at 2.428 μB/atom. The value obtained for the distance to the lowest polymorph of the same formula is 0.000 eV per atom. The value obtained for the calculated density is 8.806 g/cm3.

Cell: 11.824 11.824 11.824 Å, 90.00 90.00 90.00°
Space group I-43m (No. 217)
Asymmetric unit:
Pu (0.120, 0.374, 0.374) x24
Se (0.125, 0.125, 0.375) x24
I (0.117, 0.117, 0.883) x8


Record 9
This record from Alexandria describes an optimized crystal structure of PuTlSeI. The functional is PBE.

The value obtained for the uncorrected formation energy is -0.94 eV per atom. The calculation puts the size of the total moment at 1.501 μB/atom. The value obtained for the calculated density is 7.854 g/cm3.

Cell: 4.3234 4.3234 25.6355 Å, 90.00 90.00 120.00°
Space group R3m (No. 160, hexagonal axes)
Asymmetric unit:
Pu (0.0000, 0.0000, 0.0000) x3
Tl (0.0000, 0.0000, 0.1977) x3
Se (0.0000, 0.0000, 0.6096) x3
I (0.0000, 0.0000, 0.4142) x3


Record 10
This record from Alexandria describes an optimized crystal structure of PuTl2Se2I2. The functional is PBE.

The value obtained for the uncorrected formation energy is -0.82 eV per atom. The calculation puts the size of the total moment at 0.571 μB/atom. The value obtained for the calculated density is 6.573 g/cm3.

Cell: 5.484 5.484 17.881 Å, 90.00 90.00 90.00°
Space group I4/mmm (No. 139)
Asymmetric unit:
Pu (0.000, 0.000, 0.000) x2
Tl (0.000, 0.000, 0.378) x4
Se (0.000, 0.500, 0.000) x4
I (0.000, 0.000, 0.172) x4


Record 11
This record from Alexandria describes an optimized crystal structure of Pu4SiI5. The functional is PBE.

The value obtained for the uncorrected formation energy is -0.84 eV per atom. The calculation puts the size of the total moment at 2.301 μB/atom. The value obtained for the calculated density is 7.636 g/cm3.

Cell: 19.189 4.301 8.829 Å, 90.00 102.04 90.00°
Space group C2/m (No. 12)
Asymmetric unit:
Pu (0.001, 0.000, 0.281) x4
Pu (0.153, 0.500, 0.571) x4
Si (0.000, 0.500, 0.500) x2
I (0.000, 0.500, 0.000) x2
I (0.167, 0.000, 0.838) x4
I (0.172, 0.000, 0.316) x4


Record 12
This record from Alexandria describes an optimized crystal structure of Pu2SiI. The functional is PBE.

The value obtained for the uncorrected formation energy is -0.46 eV per atom. The calculation puts the size of the total moment at 2.865 μB/atom. The value obtained for the distance to the lowest polymorph of the same formula is 0.000 eV per atom. The value obtained for the calculated density is 10.524 g/cm3.

Cell: 3.587 3.587 7.887 Å, 90.00 90.00 90.00°
Space group P4/mmm (No. 123)
Asymmetric unit:
Pu (0.000, 0.000, 0.205) x2
Si (0.500, 0.500, 0.000) x1
I (0.500, 0.500, 0.500) x1